Material: LiTiReO6
Method: DFT, PBE-GGA
State: optimized geometry

Its energy relative to the elements, uncorrected is -2062.3 meV/atom. As for the magnetization: 0.00 μB/cell. For the calculated density, the calculation gives 5.3 g cm⁻³. The energy comes out at -0.5763 Ry per atom.

The space group is P-31c (No. 163) and the conventional cell measures 5.0880, 5.0880 and 9.4246 Å, with angles of 90.00, 90.00 and 120.00 degrees. The distinct sites, in fractional coordinates, are Li at (0.0000, 0.0000, 0.0000), Ti at (0.3333, 0.6667, 0.2500), Re at (0.3333, 0.6667, 0.7500) and O at (0.0104, 0.3704, 0.6380).